Rb2ZrH after structural relaxation, computed with PBE.

Total moment (Bohr magnetons per cell): 5.312
Space group: I-42d, No. 122
Energy above the lowest structure with this stoichiometry (meV per atom): 0
Crystal system: tetragonal
Electronic total energy (eV/f.u.): -11.048
Fermi-level density of states (states/eV/atom): 0.863

Cell and atoms, written as POSCAR:
```
Rb2ZrH
1.0
-6.6567 6.6567 1.9943
6.6567 -6.6567 1.9943
6.6567 6.6567 -1.9943
Rb Zr H
4 2 2
Direct
0.3750 0.2030 0.3280
0.7970 0.1250 0.1720
0.8750 0.0470 0.6720
0.9530 0.6250 0.8280
0.2500 0.7500 0.5000
0.5000 0.5000 0.0000
0.0000 0.0000 0.0000
0.7500 0.2500 0.5000
```